(1)
# UNiSe PBE optimized geometry
data_UNiSe
_cell_length_a 10.195
_cell_length_b 3.772
_cell_length_c 5.848
_cell_angle_alpha 90.00
_cell_angle_beta 98.44
_cell_angle_gamma 90.00
_symmetry_space_group_name_H-M 'C 1 2/m 1'
_symmetry_Int_Tables_number 12
loop_
_symmetry_equiv_pos_as_xyz
'x,y,z'
'-x,-y,-z'
'-x,y,-z'
'x,-y,z'
'x+1/2,y+1/2,z'
'-x+1/2,-y+1/2,-z'
'-x+1/2,y+1/2,-z'
'x+1/2,-y+1/2,z'
loop_
_atom_site_label
_atom_site_type_symbol
_atom_site_fract_x
_atom_site_fract_y
_atom_site_fract_z
U1 U 0.105 0.000 0.141
Ni1 Ni 0.212 0.000 0.621
Se1 Se 0.101 0.500 0.762
# Crystal system = monoclinic
# Total magnetization = 5.121 μB per cell
# Calculated volume = 222.4 Å³/cell
# Uncorrected formation energy = -0.429 eV per atom


(2)
# UNiSe2 PBE optimized geometry
data_UNiSe2
_cell_length_a 6.366
_cell_length_b 4.026
_cell_length_c 6.844
_cell_angle_alpha 90.00
_cell_angle_beta 93.46
_cell_angle_gamma 90.00
_symmetry_space_group_name_H-M 'P 1 2/m 1'
_symmetry_Int_Tables_number 10
loop_
_symmetry_equiv_pos_as_xyz
'x,y,z'
'-x,-y,-z'
'-x,y,-z'
'x,-y,z'
loop_
_atom_site_label
_atom_site_type_symbol
_atom_site_fract_x
_atom_site_fract_y
_atom_site_fract_z
U1 U 0.000 0.000 0.000
U2 U 0.000 0.500 0.500
Ni1 Ni 0.346 0.000 0.348
Se1 Se 0.265 0.500 0.179
Se2 Se 0.270 0.000 0.683
# Crystal system = monoclinic
# Total magnetization = 3.986 μB per cell
# Calculated volume = 175.1 Å³/cell
# Uncorrected formation energy = -0.822 eV per atom


(3)
# U6NiSe12 PBE optimized geometry
data_U6NiSe12
_cell_length_a 12.4536
_cell_length_b 12.4536
_cell_length_c 11.1699
_cell_angle_alpha 90.00
_cell_angle_beta 90.00
_cell_angle_gamma 120.00
_symmetry_space_group_name_H-M 'R -3'
_symmetry_Int_Tables_number 148
_symmetry_space_group_name_Hall '-R 3'
loop_
_atom_site_label
_atom_site_type_symbol
_atom_site_fract_x
_atom_site_fract_y
_atom_site_fract_z
U1 U 0.0555 0.4454 0.3167
Ni1 Ni 0.0000 0.0000 0.0000
Se1 Se 0.0358 0.2153 0.3914
Se2 Se 0.0514 0.1965 0.8900
# Crystal system = trigonal
# Total magnetization = 44.090 μB per cell
# Calculated volume = 1500.3 Å³/cell
# Uncorrected formation energy = -0.990 eV per atom


(4)
# UNiSe PBE optimized geometry
data_UNiSe
_cell_length_a 3.449
_cell_length_b 3.449
_cell_length_c 9.263
_cell_angle_alpha 90.00
_cell_angle_beta 90.00
_cell_angle_gamma 90.00
_symmetry_space_group_name_H-M 'I 4 m m'
_symmetry_Int_Tables_number 107
_symmetry_space_group_name_Hall 'I 4 -2'
loop_
_atom_site_label
_atom_site_type_symbol
_atom_site_fract_x
_atom_site_fract_y
_atom_site_fract_z
U1 U 0.000 0.000 0.000
Ni1 Ni 0.000 0.000 0.654
Se1 Se 0.000 0.000 0.316
# Crystal system = tetragonal
# Total magnetization = 3.952 μB per cell
# Calculated volume = 110.2 Å³/cell
# Uncorrected formation energy = -0.385 eV per atom


(5)
# U3NiSe6 PBE optimized geometry
data_U3NiSe6
_cell_length_a 11.122
_cell_length_b 13.512
_cell_length_c 6.553
_cell_angle_alpha 90.00
_cell_angle_beta 90.00
_cell_angle_gamma 90.00
_symmetry_space_group_name_H-M 'C m c 21'
_symmetry_Int_Tables_number 36
loop_
_symmetry_equiv_pos_as_xyz
'x,y,z'
'-x,-y,z+1/2'
'-x,y,z'
'x,-y,z+1/2'
'x+1/2,y+1/2,z'
'-x+1/2,-y+1/2,z+1/2'
'-x+1/2,y+1/2,z'
'x+1/2,-y+1/2,z+1/2'
loop_
_atom_site_label
_atom_site_type_symbol
_atom_site_fract_x
_atom_site_fract_y
_atom_site_fract_z
U1 U 0.000 0.108 0.000
U2 U 0.169 0.397 0.102
Ni1 Ni 0.000 0.299 0.693
Se1 Se 0.000 0.273 0.313
Se2 Se 0.000 0.466 0.794
Se3 Se 0.164 0.034 0.302
Se4 Se 0.178 0.232 0.829
# Crystal system = orthorhombic
# Total magnetization = 24.002 μB per cell
# Calculated volume = 984.8 Å³/cell
# Uncorrected formation energy = -0.992 eV per atom


(6)
# VNiSe2 PBE optimized geometry
data_VNiSe2
_cell_length_a 3.2593
_cell_length_b 3.2593
_cell_length_c 23.1914
_cell_angle_alpha 90.00
_cell_angle_beta 90.00
_cell_angle_gamma 120.00
_symmetry_space_group_name_H-M 'R -3 m'
_symmetry_Int_Tables_number 166
_symmetry_space_group_name_Hall '-R 3 2"'
loop_
_atom_site_label
_atom_site_type_symbol
_atom_site_fract_x
_atom_site_fract_y
_atom_site_fract_z
V1 V 0.0000 0.0000 0.0000
Ni1 Ni 0.0000 0.0000 0.5000
Se1 Se 0.0000 0.0000 0.4026
# Crystal system = trigonal
# Total magnetization = 0.293 μB per cell
# Calculated volume = 213.4 Å³/cell
# Uncorrected formation energy = -0.265 eV per atom


(7)
# VNiSe PBE optimized geometry
data_VNiSe
_cell_length_a 8.898
_cell_length_b 3.156
_cell_length_c 6.172
_cell_angle_alpha 90.00
_cell_angle_beta 106.40
_cell_angle_gamma 90.00
_symmetry_space_group_name_H-M 'C 1 2/m 1'
_symmetry_Int_Tables_number 12
loop_
_symmetry_equiv_pos_as_xyz
'x,y,z'
'-x,-y,-z'
'-x,y,-z'
'x,-y,z'
'x+1/2,y+1/2,z'
'-x+1/2,-y+1/2,-z'
'-x+1/2,y+1/2,-z'
'x+1/2,-y+1/2,z'
loop_
_atom_site_label
_atom_site_type_symbol
_atom_site_fract_x
_atom_site_fract_y
_atom_site_fract_z
V1 V 0.150 0.000 0.142
Ni1 Ni 0.164 0.000 0.558
Se1 Se 0.056 0.500 0.790
# Crystal system = monoclinic
# Total magnetization = 0.001 μB per cell
# Calculated volume = 166.3 Å³/cell
# Uncorrected formation energy = -0.155 eV per atom


(8)
# VNiSe2 PBE optimized geometry
data_VNiSe2
_cell_length_a 3.4357
_cell_length_b 3.4357
_cell_length_c 18.9365
_cell_angle_alpha 90.00
_cell_angle_beta 90.00
_cell_angle_gamma 120.00
_symmetry_space_group_name_H-M 'R 3 m'
_symmetry_Int_Tables_number 160
_symmetry_space_group_name_Hall 'R 3 -2"'
loop_
_atom_site_label
_atom_site_type_symbol
_atom_site_fract_x
_atom_site_fract_y
_atom_site_fract_z
V1 V 0.0000 0.0000 0.0000
Ni1 Ni 0.0000 0.0000 0.1468
Se1 Se 0.0000 0.0000 0.5801
Se2 Se 0.0000 0.0000 0.7459
# Crystal system = trigonal
# Total magnetization = 0.000 μB per cell
# Calculated volume = 193.6 Å³/cell
# Uncorrected formation energy = -0.334 eV per atom


(9)
# VNiSe PBE optimized geometry
data_VNiSe
_cell_length_a 3.743
_cell_length_b 3.743
_cell_length_c 6.091
_cell_angle_alpha 90.00
_cell_angle_beta 90.00
_cell_angle_gamma 90.00
_symmetry_space_group_name_H-M 'P 4/n m m'
_symmetry_Int_Tables_number 129
loop_
_symmetry_equiv_pos_as_xyz
'x,y,z'
'-x,-y,-z'
'-y+1/2,x,z'
'y+1/2,-x,-z'
'-x+1/2,-y+1/2,z'
'x+1/2,y+1/2,-z'
'y,-x+1/2,z'
'-y,x+1/2,-z'
'x+1/2,-y,-z'
'-x+1/2,y,z'
'-y,-x,-z'
'y,x,z'
'-x,y+1/2,-z'
'x,-y+1/2,z'
'y+1/2,x+1/2,-z'
'-y+1/2,-x+1/2,z'
loop_
_atom_site_label
_atom_site_type_symbol
_atom_site_fract_x
_atom_site_fract_y
_atom_site_fract_z
V1 V 0.250 0.750 0.000
Ni1 Ni 0.250 0.250 0.291
Se1 Se 0.250 0.250 0.705
# Crystal system = tetragonal
# Total magnetization = 0.000 μB per cell
# Calculated volume = 85.4 Å³/cell
# Uncorrected formation energy = -0.295 eV per atom


(10)
# VNiSe2 PBE optimized geometry
data_VNiSe2
_cell_length_a 6.184
_cell_length_b 3.486
_cell_length_c 6.620
_cell_angle_alpha 90.00
_cell_angle_beta 105.81
_cell_angle_gamma 90.00
_symmetry_space_group_name_H-M 'P 1 21/m 1'
_symmetry_Int_Tables_number 11
loop_
_symmetry_equiv_pos_as_xyz
'x,y,z'
'-x,-y,-z'
'-x,y+1/2,-z'
'x,-y+1/2,z'
loop_
_atom_site_label
_atom_site_type_symbol
_atom_site_fract_x
_atom_site_fract_y
_atom_site_fract_z
V1 V 0.182 0.250 0.485
Ni1 Ni 0.390 0.250 0.892
Se1 Se 0.007 0.750 0.232
Se2 Se 0.492 0.750 0.707
# Crystal system = monoclinic
# Total magnetization = 0.000 μB per cell
# Calculated volume = 137.3 Å³/cell
# Uncorrected formation energy = -0.494 eV per atom


(11)
# VNiSe PBE optimized geometry
data_VNiSe
_cell_length_a 9.718
_cell_length_b 4.946
_cell_length_c 3.779
_cell_angle_alpha 90.00
_cell_angle_beta 102.58
_cell_angle_gamma 90.00
_symmetry_space_group_name_H-M 'C 1 2/m 1'
_symmetry_Int_Tables_number 12
loop_
_symmetry_equiv_pos_as_xyz
'x,y,z'
'-x,-y,-z'
'-x,y,-z'
'x,-y,z'
'x+1/2,y+1/2,z'
'-x+1/2,-y+1/2,-z'
'-x+1/2,y+1/2,-z'
'x+1/2,-y+1/2,z'
loop_
_atom_site_label
_atom_site_type_symbol
_atom_site_fract_x
_atom_site_fract_y
_atom_site_fract_z
V1 V 0.130 0.000 0.080
Ni1 Ni 0.000 0.238 0.500
Se1 Se 0.174 0.500 0.294
# Crystal system = monoclinic
# Total magnetization = 0.000 μB per cell
# Calculated volume = 177.3 Å³/cell
# Uncorrected formation energy = -0.197 eV per atom